[1]
VASP calculation (GGA-PBEsol) on an optimized crystal structure of MnSO2.

Properties
As for the density of states at the Fermi level: 8.1 states/eV/cell. The crystal system is tetragonal. The symmetry is I-42d. The value obtained for the energy is -6.560 eV/atom.

Cell and atoms, written as extended XYZ:
```
8
Lattice="-2.7152 2.7152 3.8670 2.7152 -2.7152 3.8670 2.7152 2.7152 -3.8670" Properties=species:S:1:pos:R:3 pbc="T T T"
Mn 0.0000 0.0000 0.0000
Mn 0.0000 2.7152 1.9335
S 2.7152 0.0000 1.9335
S 0.0000 0.0000 3.8670
O -0.2772 1.3576 0.9668
O 1.3576 2.4381 2.9003
O 0.2772 4.0729 0.9668
O -1.3576 2.9924 2.9003
```



[2]
VASP calculation (GGA-PBEsol) on an optimized crystal structure of LiTe2Br.

Properties
As for the density of states at the Fermi level: 1.7 states/eV/cell. The excess energy over the best structure of this formula in the dataset comes out at 141.8 meV/atom. The crystal system is monoclinic. The symmetry is P2/m.

Cell and atoms, written as extended XYZ:
```
4
Lattice="3.9720 0.0000 0.0000 0.0000 7.6540 0.0000 -0.0283 0.0000 4.5055" Properties=species:S:1:pos:R:3 pbc="T T T"
Li 0.0000 0.0000 0.0000
Te 0.9951 3.8270 1.1243
Te 2.9486 3.8270 3.3812
Br -0.0142 0.0000 2.2528
```



[3]
VASP calculation (GGA-PBEsol) on an optimized crystal structure of Mg2ZnRh2.

Properties
As for the density of states at the Fermi level: 7.4 states/eV/cell. The crystal system is tetragonal. For the formation energy, the calculation gives -0.37 eV/atom. The symmetry is P4/mbm.

Cell and atoms, written as extended XYZ:
```
10
Lattice="6.4630 0.0000 0.0000 0.0000 6.4630 0.0000 0.0000 0.0000 3.8214" Properties=species:S:1:pos:R:3 pbc="T T T"
Mg 1.0509 2.1806 0.0000
Mg 2.1806 5.4121 0.0000
Mg 4.2824 1.0509 0.0000
Mg 5.4121 4.2824 0.0000
Zn 0.0000 0.0000 1.9107
Zn 3.2315 3.2315 1.9107
Rh 0.9151 4.1466 1.9107
Rh 2.3164 0.9151 1.9107
Rh 4.1466 5.5479 1.9107
Rh 5.5479 2.3164 1.9107
```